Record 1
The following is a PBE-GGA calculation of LiAcSe2 after structural relaxation, from the Alexandria database.

abc: 3.800 5.188 5.188
angles: 90.00 90.00 90.00
Fractional positions:
Se 0.000 0.500 0.000
Se 0.000 0.000 0.500
Ac 0.500 0.500 0.500
Li 0.500 0.000 0.000

Calculated values
Space-group type   P4/mmm, No. 123
Raw total energy   -18.83 eV/cell
Uncorrected formation energy   -1461 meV per atom

Record 2
The following is a PBE-GGA calculation of LiPaSn after structural relaxation, from the Alexandria database.

abc: 3.278 4.904 4.904
angles: 120.00 90.00 90.00
Each line ends with the local moment (μB).
Fractional positions:
Li 0.167 0.667 0.333  0.03
Sn 0.167 0.000 0.000  -0.02
Pa 0.667 0.333 0.667  1.14

Calculated values
Space-group type   P-6m2, No. 187
Raw total energy   -15.65 eV/cell

Record 3
The following is a PBE-GGA calculation of BaLiMg2Tl4 after structural relaxation, from the Alexandria database.

abc: 5.062 5.062 10.640
angles: 76.24 76.24 60.00
Fractional positions:
Tl 0.600 0.600 0.200
Tl 0.870 0.870 0.390
Tl 0.130 0.130 0.610
Tl 0.400 0.400 0.800
Li 0.500 0.500 0.500
Ba 0.000 0.000 0.000
Mg 0.765 0.765 0.706
Mg 0.235 0.235 0.294

Calculated values
Space-group type   R-3m, No. 166
Raw total energy   -18.15 eV/cell

Record 4
The following is a PBE-GGA calculation of NdErBiSb after structural relaxation, from the Alexandria database.

abc: 4.486 4.486 7.760
angles: 73.20 73.20 60.00
Fractional positions:
Sb 0.448 0.448 0.656
Nd 0.696 0.696 0.912
Er 0.192 0.192 0.424
Bi 0.940 0.940 0.179

Calculated values
Space-group type   R3m, No. 160
Raw total energy   -21.36 eV/cell
Uncorrected formation energy   -1007 meV per atom

What total magnetic moment values result from the calculations? In sequence: 0.0; 1.5; 0.0; 0.0 μB per cell.